The following is a DFT calculation (GGA-PBE) of crystalline TcNiAu2 at its relaxed geometry. Values from VASP.

Energy above the lowest structure with this stoichiometry, kJ/mol of formula units: 121
Total magnetization, μB/atom: 0.50
Volume, Å³/cell: 63
Formation enthalpy at 0 K, eV per atom: 0.440
Final energy, eV/atom: -5.24

Cell and atoms, written as Quantum ESPRESSO input:
```
&SYSTEM
  ibrav = 0, nat = 4, ntyp = 3
/
ATOMIC_SPECIES
Ni 58.69 Ni.upf
Au 196.97 Au.upf
Tc 98.00 Tc.upf
CELL_PARAMETERS angstrom
0.000 3.157 3.157
3.157 0.000 3.157
3.157 3.157 0.000
ATOMIC_POSITIONS angstrom
Ni 0.000 0.000 0.000
Au 1.578 1.578 1.578
Au 4.735 4.735 4.735
Tc 3.157 3.157 3.157
```